# 1
Here is an optimized crystal structure of HfHg3As from Alexandria via LeMat-Bulk. Energies are from PBE.

## Properties
Raw total energy, eV/atom: -2.2221
Symmetry: Pm-3m, No. 221
Total moment, μB/cell: 0.000
ΔE_f, meV/atom: 879.6

Structure (POSCAR):
```
HfHg3As
1.0
5.478 0.000 0.000
0.000 5.478 0.000
0.000 0.000 5.478
Hf Hg As
1 3 1
direct
0.000 0.000 0.000
0.000 0.000 0.500
0.000 0.500 0.000
0.500 0.000 0.000
0.500 0.500 0.500
```


# 2
Here is an optimized crystal structure of Hf2HgAs from Alexandria via LeMat-Bulk. Energies are from PBE.

## Properties
Raw total energy, eV/atom: -6.4209
Symmetry: Fm-3m, No. 225
E above lowest polymorph, meV per atom: 247
Total moment, μB/cell: 0.000
ΔE_f, meV/atom: -206.4

Structure (POSCAR):
```
Hf2HgAs
1.0
0.000 3.419 3.419
3.419 0.000 3.419
3.419 3.419 0.000
Hf Hg As
2 1 1
direct
0.250 0.250 0.250
0.750 0.750 0.750
0.000 0.000 0.000
0.500 0.500 0.500
```


# 3
Here is an optimized crystal structure of HfHg3As from Alexandria via LeMat-Bulk. Energies are from PBE.

## Properties
Raw total energy, eV/atom: -2.2222
Symmetry: Pm-3m, No. 221
Total moment, μB/cell: 0.000
ΔE_f, meV/atom: 879.5

Structure (POSCAR):
```
HfHg3As
1.0
5.161 0.000 0.000
0.000 5.161 0.000
0.000 0.000 5.161
Hf Hg As
1 3 1
direct
0.000 0.000 0.000
0.000 0.500 0.500
0.500 0.000 0.500
0.500 0.500 0.000
0.500 0.500 0.500
```